Compound: Na2Sn6Bi
Source: Alexandria
Functional: PBE
Structure: optimized geometry

Calculated values
**Formation enthalpy at 0 K**: -0.041 eV per atom
**VASP energy**: -61.8 eV for the cell shown

abc: 16.385 6.346 5.340
angles: 90.00 108.92 90.00
Space group C2/m (No. 12)
Inequivalent atoms, fractional coordinates:
Na1 0.108 0.000 0.109 [4 per cell]
Sn1 0.000 0.235 0.500 [4 per cell]
Sn2 0.200 0.255 0.701 [8 per cell]
Bi1 0.000 0.500 0.000 [2 per cell]


Compound: Na2SnBi
Source: Alexandria
Functional: PBE
Structure: optimized geometry

Calculated values
**Formation enthalpy at 0 K**: -0.237 eV per atom
**VASP energy**: -11.5 eV for the cell shown

abc: 4.783 4.783 4.873
angles: 90.00 90.00 90.00
Space group P4/mmm (No. 123)
Inequivalent atoms, fractional coordinates:
Na1 0.000 0.500 0.000 [2 per cell]
Sn1 0.000 0.000 0.500 [1 per cell]
Bi1 0.500 0.500 0.500 [1 per cell]